Material: Tl2CoPdO4
Method: DFT, PBE with a Hubbard U
State: optimized geometry

Results
**E_tot**: -316.07 eV for the cell shown

Cell lengths 5.8525, 12.2416, 17.7410 Å; angles 90.00, 90.00, 90.00 degrees
Last column: nearest neighbours and their distance in Å.
Space group Fddd (No. 70, origin choice 2)
Inequivalent atoms, fractional coordinates:
Tl 0.1250 0.1250 0.2908  2 O 2.37
Co 0.1250 0.1250 0.6250  4 O 1.84
Pd 0.1250 0.1250 0.1250  4 O 2.03
O 0.1028 0.2717 0.8727  1 Co 1.84, 1 Pd 2.03